[1]
Crystalline Dy3Ni5S12 at its relaxed geometry, computed with PBE-GGA.

abc: 14.423 14.423 14.423
angles: 90.00 90.00 90.00
Space group Ia-3d (No. 230)
Asymmetric unit:
Dy1 0.000 0.250 0.125 x24
Ni1 0.000 0.000 0.000 x16
Ni2 0.000 0.250 0.375 x24
S1 0.030 0.055 0.647 x96

## Properties
The calculation puts the formation energy from raw total energies at -19.23 kcal/mol of atoms.


[2]
Crystalline Dy4NiS3 at its relaxed geometry, computed with PBE-GGA.

abc: 7.966 11.160 3.849
angles: 90.00 90.00 90.00
Space group Cmmm (No. 65)
Asymmetric unit:
Dy1 0.000 0.247 0.000 x4
Dy2 0.240 0.000 0.500 x4
Ni1 0.000 0.000 0.000 x2
S1 0.000 0.500 0.000 x2
S2 0.250 0.250 0.500 x4

## Properties
The calculation puts the formation energy from raw total energies at -36.24 kcal/mol of atoms.


[3]
Crystalline Dy6Ni2Se3S at its relaxed geometry, computed with PBE-GGA.

abc: 6.834 11.879 7.204
angles: 90.00 108.48 90.00
Space group C2/m (No. 12)
Asymmetric unit:
Dy1 0.234 0.000 0.229 x4
Dy2 0.248 0.329 0.227 x8
Ni1 0.000 0.168 0.000 x4
Se1 0.000 0.000 0.500 x2
Se2 0.000 0.338 0.500 x4
S1 0.000 0.500 0.000 x2

## Properties
The calculation puts the formation energy from raw total energies at -30.61 kcal/mol of atoms.


[4]
Crystalline Dy4NiSeS2 at its relaxed geometry, computed with PBE-GGA.

abc: 6.924 3.889 6.952
angles: 90.00 108.80 90.00
Space group P2/m (No. 10)
Asymmetric unit:
Dy1 0.242 0.000 0.235 x2
Dy2 0.256 0.500 0.763 x2
Ni1 0.000 0.500 0.000 x1
Se1 0.000 0.000 0.500 x1
S1 0.500 0.000 0.000 x1
S2 0.500 0.500 0.500 x1

## Properties
The calculation puts the formation energy from raw total energies at -34.71 kcal/mol of atoms.